[1]
# Ba2MgZnAg2 PBE relaxed
data_Ba2MgZnAg2
_cell_length_a 6.7789
_cell_length_b 6.8265
_cell_length_c 9.3342
_cell_angle_alpha 111.45
_cell_angle_beta 111.29
_cell_angle_gamma 90.00
_symmetry_space_group_name_H-M 'P 1'
_symmetry_Int_Tables_number 1
_symmetry_space_group_name_Hall 'P 1'
loop_
_atom_site_label
_atom_site_type_symbol
_atom_site_fract_x
_atom_site_fract_y
_atom_site_fract_z
Ba1 Ba 0.4040 0.1643 0.3285
Ba2 Ba 0.5960 0.8357 0.6715
Ba3 Ba 0.0755 0.3357 0.6715
Ba4 Ba 0.9245 0.6643 0.3285
Mg1 Mg 0.5000 0.7500 0.0000
Mg2 Mg 0.5000 0.2500 0.0000
Zn1 Zn 0.0000 0.7500 0.0000
Zn2 Zn 0.0000 0.2500 0.0000
Ag1 Ag 0.8489 0.0942 0.1884
Ag2 Ag 0.3395 0.5942 0.1884
Ag3 Ag 0.6605 0.4058 0.8116
Ag4 Ag 0.1511 0.9058 0.8116
# energy of formation: -0.196 eV/atom
# raw total energy: -13.59 eV per formula unit
# magnetization: 0.00 μB/f.u.
# symmetry: Ibam

[2]
# BaMgZn2Ag4 PBE relaxed
data_BaMgZn2Ag4
_cell_length_a 4.6001
_cell_length_b 4.6001
_cell_length_c 10.0310
_cell_angle_alpha 76.74
_cell_angle_beta 76.74
_cell_angle_gamma 60.00
_symmetry_space_group_name_H-M 'P 1'
_symmetry_Int_Tables_number 1
_symmetry_space_group_name_Hall 'P 1'
loop_
_atom_site_label
_atom_site_type_symbol
_atom_site_fract_x
_atom_site_fract_y
_atom_site_fract_z
Ba1 Ba 0.0000 0.0000 0.0000
Mg1 Mg 0.5000 0.5000 0.5000
Zn1 Zn 0.7669 0.7669 0.6993
Zn2 Zn 0.2331 0.2331 0.3007
Ag1 Ag 0.4085 0.4085 0.7745
Ag2 Ag 0.8712 0.8712 0.3865
Ag3 Ag 0.1288 0.1288 0.6135
Ag4 Ag 0.5915 0.5915 0.2255
# energy of formation: -0.130 eV/atom
# raw total energy: -18.51 eV per formula unit
# magnetization: 0.00 μB/f.u.
# symmetry: R-3m

[3]
# BaMgZn2Ag2 PBE relaxed
data_BaMgZn2Ag2
_cell_length_a 4.6347
_cell_length_b 4.6347
_cell_length_c 7.6953
_cell_angle_alpha 90.00
_cell_angle_beta 90.00
_cell_angle_gamma 120.00
_symmetry_space_group_name_H-M 'P 1'
_symmetry_Int_Tables_number 1
_symmetry_space_group_name_Hall 'P 1'
loop_
_atom_site_label
_atom_site_type_symbol
_atom_site_fract_x
_atom_site_fract_y
_atom_site_fract_z
Ba1 Ba 0.0000 0.0000 0.0000
Mg1 Mg 0.0000 0.0000 0.5000
Zn1 Zn 0.6667 0.3333 0.6867
Zn2 Zn 0.3333 0.6667 0.3133
Ag1 Ag 0.6667 0.3333 0.3240
Ag2 Ag 0.3333 0.6667 0.6760
# energy of formation: -0.218 eV/atom
# raw total energy: -13.07 eV per formula unit
# magnetization: 0.00 μB/f.u.
# symmetry: P-3m1

[4]
# BaMg4ZnAg2 PBE relaxed
data_BaMg4ZnAg2
_cell_length_a 4.7132
_cell_length_b 4.7132
_cell_length_c 10.6720
_cell_angle_alpha 77.24
_cell_angle_beta 77.24
_cell_angle_gamma 60.00
_symmetry_space_group_name_H-M 'P 1'
_symmetry_Int_Tables_number 1
_symmetry_space_group_name_Hall 'P 1'
loop_
_atom_site_label
_atom_site_type_symbol
_atom_site_fract_x
_atom_site_fract_y
_atom_site_fract_z
Ba1 Ba 0.0000 0.0000 0.0000
Mg1 Mg 0.4124 0.4124 0.7627
Mg2 Mg 0.8635 0.8635 0.4096
Mg3 Mg 0.1365 0.1365 0.5904
Mg4 Mg 0.5876 0.5876 0.2373
Zn1 Zn 0.5000 0.5000 0.5000
Ag1 Ag 0.7648 0.7648 0.7056
Ag2 Ag 0.2352 0.2352 0.2944
# energy of formation: -0.124 eV/atom
# raw total energy: -16.27 eV per formula unit
# magnetization: 0.00 μB/f.u.
# symmetry: R-3m

[5]
# BaMgZn2Ag PBE relaxed
data_BaMgZn2Ag
_cell_length_a 4.4646
_cell_length_b 4.5417
_cell_length_c 6.9174
_cell_angle_alpha 109.16
_cell_angle_beta 108.83
_cell_angle_gamma 90.00
_symmetry_space_group_name_H-M 'P 1'
_symmetry_Int_Tables_number 1
_symmetry_space_group_name_Hall 'P 1'
loop_
_atom_site_label
_atom_site_type_symbol
_atom_site_fract_x
_atom_site_fract_y
_atom_site_fract_z
Ba1 Ba 0.4441 0.4441 0.8882
Mg1 Mg 0.1916 0.6916 0.3833
Zn1 Zn 0.6884 0.1884 0.3767
Zn2 Zn 0.0598 0.0598 0.1196
Ag1 Ag 0.8282 0.8282 0.6564
# energy of formation: -0.186 eV/atom
# raw total energy: -9.85 eV per formula unit
# magnetization: 0.00 μB/f.u.
# symmetry: Imm2

[6]
# Ba2MgZnAg6 PBE relaxed
data_Ba2MgZnAg6
_cell_length_a 7.4208
_cell_length_b 7.2588
_cell_length_c 7.2734
_cell_angle_alpha 49.09
_cell_angle_beta 74.56
_cell_angle_gamma 94.15
_symmetry_space_group_name_H-M 'P 1'
_symmetry_Int_Tables_number 1
_symmetry_space_group_name_Hall 'P 1'
loop_
_atom_site_label
_atom_site_type_symbol
_atom_site_fract_x
_atom_site_fract_y
_atom_site_fract_z
Ba1 Ba 0.8025 0.2476 0.4444
Ba2 Ba 0.1975 0.7524 0.5556
Mg1 Mg 0.0000 0.0000 0.0000
Zn1 Zn 0.5000 0.5000 0.0000
Ag1 Ag 0.2848 0.2821 0.4937
Ag2 Ag 0.6101 0.7499 0.1385
Ag3 Ag 0.2841 0.7770 0.9982
Ag4 Ag 0.7159 0.2230 0.0018
Ag5 Ag 0.3899 0.2501 0.8615
Ag6 Ag 0.7152 0.7179 0.5063
# energy of formation: -0.148 eV/atom
# raw total energy: -25.30 eV per formula unit
# magnetization: 0.00 μB/f.u.
# symmetry: P-1

[7]
# BaMgZnAg PBE relaxed
data_BaMgZnAg
_cell_length_a 4.7921
_cell_length_b 4.7915
_cell_length_c 6.3982
_cell_angle_alpha 112.00
_cell_angle_beta 90.00
_cell_angle_gamma 120.00
_symmetry_space_group_name_H-M 'P 1'
_symmetry_Int_Tables_number 1
_symmetry_space_group_name_Hall 'P 1'
loop_
_atom_site_label
_atom_site_type_symbol
_atom_site_fract_x
_atom_site_fract_y
_atom_site_fract_z
Ba1 Ba 0.6167 0.2333 0.4924
Mg1 Mg 0.1190 0.2379 0.9988
Zn1 Zn 0.4202 0.8404 0.9026
Ag1 Ag 0.8105 0.6209 0.0736
# energy of formation: -0.205 eV/atom
# raw total energy: -8.46 eV per formula unit
# magnetization: 0.00 μB/f.u.
# symmetry: R3m

[8]
# Ba2Mg12ZnAg3 PBE relaxed
data_Ba2Mg12ZnAg3
_cell_length_a 10.8742
_cell_length_b 10.8742
_cell_length_c 10.8742
_cell_angle_alpha 41.31
_cell_angle_beta 41.31
_cell_angle_gamma 41.31
_symmetry_space_group_name_H-M 'P 1'
_symmetry_Int_Tables_number 1
_symmetry_space_group_name_Hall 'P 1'
loop_
_atom_site_label
_atom_site_type_symbol
_atom_site_fract_x
_atom_site_fract_y
_atom_site_fract_z
Ba1 Ba 0.6519 0.6519 0.6519
Ba2 Ba 0.3481 0.3481 0.3481
Mg1 Mg 0.4081 0.4081 0.8174
Mg2 Mg 0.9357 0.9357 0.3427
Mg3 Mg 0.3427 0.9357 0.9357
Mg4 Mg 0.8174 0.4081 0.4081
Mg5 Mg 0.9357 0.3427 0.9357
Mg6 Mg 0.4081 0.8174 0.4081
Mg7 Mg 0.5919 0.5919 0.1826
Mg8 Mg 0.0643 0.0643 0.6573
Mg9 Mg 0.6573 0.0643 0.0643
Mg10 Mg 0.1826 0.5919 0.5919
Mg11 Mg 0.0643 0.6573 0.0643
Mg12 Mg 0.5919 0.1826 0.5919
Zn1 Zn 0.0000 0.0000 0.0000
Ag1 Ag 0.5000 0.0000 0.0000
Ag2 Ag 0.0000 0.5000 0.0000
Ag3 Ag 0.0000 0.0000 0.5000
# energy of formation: 0.083 eV/atom
# raw total energy: -31.31 eV per formula unit
# magnetization: 0.00 μB/f.u.
# symmetry: R-3m